Entry 1:
Crystalline MnTcMo2Se at its relaxed geometry, computed with GGA-PBEsol.

Unit cell a=4.6742 b=4.6537 c=4.6537 alpha=90.00 beta=90.00 gamma=90.00
Positions (direct):
Mo  0.0000  0.0000  0.5000
Mo  0.0000  0.5000  0.0000
Mn  0.5000  0.5000  0.5000
Tc  0.0000  0.0000  0.0000
Se  0.5000  0.0000  0.0000

Computed properties:
M_tot (μB/f.u.): 2.25
Symmetry: P4/mmm
Formation energy from raw total energies (eV per atom): 1.58

Entry 2:
Crystalline LaTi2GaP at its relaxed geometry, computed with GGA-PBEsol.

Unit cell a=4.6082 b=4.6082 c=5.3914 alpha=90.00 beta=90.00 gamma=90.00
Positions (direct):
P  0.0000  0.0000  0.0000
Ti  0.0000  0.5000  0.0000
Ti  0.5000  0.0000  0.0000
Ga  0.5000  0.5000  0.5000
La  0.0000  0.0000  0.5000

Computed properties:
M_tot (μB/f.u.): 0.70
Symmetry: P4/mmm
Energy (eV/atom): -6.447

Entry 3:
Crystalline CdPb2 at its relaxed geometry, computed with GGA-PBEsol.

Unit cell a=4.3857 b=8.0794 c=8.0794 alpha=120.00 beta=90.00 gamma=90.00
Positions (direct):
Cd  0.0000  0.6667  0.3333
Cd  0.0000  0.3333  0.6667
Cd  0.5000  0.0000  0.0000
Pb  0.0000  0.7368  0.7368
Pb  0.0000  0.0000  0.2632
Pb  0.0000  0.2632  0.0000
Pb  0.5000  0.3983  0.3983
Pb  0.5000  0.0000  0.6017
Pb  0.5000  0.6017  0.0000

Computed properties:
M_tot (μB/f.u.): 0.00
Symmetry: P-62m
Energy (eV/atom): -2.999

Entry 4:
Crystalline K2LiAlH6 at its relaxed geometry, computed with GGA-PBEsol.

Unit cell a=5.5280 b=5.5280 c=9.5457 alpha=73.17 beta=73.17 gamma=60.00
Positions (direct):
H  0.8323  0.3935  0.3808
H  0.3935  0.8323  0.3808
H  0.3935  0.3935  0.3808
H  0.1677  0.6065  0.6192
H  0.6065  0.6065  0.6192
H  0.6065  0.1677  0.6192
H  0.7323  0.1903  0.8871
H  0.1903  0.7323  0.8871
H  0.1903  0.1903  0.8871
H  0.2677  0.8097  0.1129
H  0.8097  0.8097  0.1129
H  0.8097  0.2677  0.1129
K  0.8731  0.8731  0.3808
K  0.1269  0.1269  0.6192
K  0.7132  0.7132  0.8604
K  0.2868  0.2868  0.1396
Al  0.0000  0.0000  0.0000
Al  0.5000  0.5000  0.5000
Li  0.5923  0.5923  0.2230
Li  0.4077  0.4077  0.7770

Computed properties:
M_tot (μB/f.u.): 0.00
Symmetry: R-3m
Energy (eV/atom): -3.100

Entry 5:
Crystalline MgSnRu2 at its relaxed geometry, computed with GGA-PBEsol.

Unit cell a=4.4295 b=4.4295 c=4.4295 alpha=60.00 beta=60.00 gamma=60.00
Positions (direct):
Ru  0.2500  0.2500  0.2500
Ru  0.7500  0.7500  0.7500
Mg  0.0000  0.0000  0.0000
Sn  0.5000  0.5000  0.5000

Computed properties:
M_tot (μB/f.u.): 0.00
Symmetry: Fm-3m
Energy (eV/atom): -6.664

Entry 6:
Crystalline AlC7 at its relaxed geometry, computed with GGA-PBEsol.

Unit cell a=4.4079 b=4.4079 c=4.4079 alpha=60.00 beta=60.00 gamma=60.00
Positions (direct):
C  0.0000  0.5000  0.0000
C  0.5000  0.0000  0.0000
C  0.0000  0.0000  0.5000
C  0.5000  0.0000  0.5000
C  0.0000  0.5000  0.5000
C  0.5000  0.5000  0.0000
C  0.5000  0.5000  0.5000
Al  0.0000  0.0000  0.0000

Computed properties:
M_tot (μB/f.u.): 0.00
Symmetry: Fm-3m
Energy (eV/atom): -5.409

Entry 7:
Crystalline ZnSiIr2 at its relaxed geometry, computed with GGA-PBEsol.

Unit cell a=5.2616 b=5.4479 c=5.4479 alpha=76.51 beta=61.12 gamma=61.12
Positions (direct):
Zn  0.0000  0.0000  0.0000
Zn  0.7500  0.5000  0.5000
Ir  0.5781  0.0469  0.5469
Ir  0.1719  0.9531  0.4531
Ir  0.3750  0.4531  0.0469
Ir  0.8750  0.5469  0.9531
Si  0.5000  0.0000  0.0000
Si  0.2500  0.5000  0.5000

Computed properties:
M_tot (μB/f.u.): 0.00
Symmetry: I-42d
Formation energy from raw total energies (eV per atom): 0.00

Entry 8:
Crystalline SrCr2As2 at its relaxed geometry, computed with GGA-PBEsol.

Unit cell a=3.9787 b=3.9787 c=6.6740 alpha=107.34 beta=107.34 gamma=90.00
Positions (direct):
Sr  0.0000  0.0000  0.0000
As  0.6383  0.6383  0.2766
As  0.3617  0.3617  0.7234
Cr  0.2500  0.7500  0.5000
Cr  0.7500  0.2500  0.5000

Computed properties:
M_tot (μB/f.u.): 3.96
Symmetry: I4/mmm
Energy (eV/atom): -6.933